Entry 1:
# Tb6GaSe4

A relaxed Tb6GaSe4 crystal (PBE, Alexandria via LeMat-Bulk).

Unit cell a=4.0335 b=13.4316 c=20.7805 alpha=90.00 beta=90.00 gamma=90.00
Closest atoms and distances in Å follow each position.
Space group Cmcm (No. 63)
One atom of each set of equivalent atoms:
Tb  0.0000  0.0000  0.0000 [4 per cell]  6 Se 2.83-2.88
Tb  0.0000  0.1675  0.2500 [4 per cell]  2 Se 2.83, 2 Ga 2.96
Tb  0.0000  0.2733  0.5906 [8 per cell]  5 Se 2.88-2.93
Tb  0.0000  0.4435  0.1674 [8 per cell]  3 Se 2.90, 2 Ga 3.06
Ga  0.0000  0.1709  0.7500 [4 per cell]  6 Tb 2.96-3.06
Se  0.0000  0.0837  0.1251 [8 per cell]  6 Tb 2.83-2.90
Se  0.0000  0.3595  0.0390 [8 per cell]  6 Tb 2.88-2.93

Output
V   25.59 Å³/atom
VASP energy   -241.09 eV/cell
Total moment   0.0000 μB/atom

=====

Entry 2:
# Sr4PuPa3As8

A relaxed Sr4PuPa3As8 crystal (PBE, Alexandria via LeMat-Bulk).

Unit cell a=8.5309 b=8.5309 c=21.3365 alpha=90.00 beta=90.00 gamma=120.00
Closest atoms and distances in Å follow each position.
Space group R-3m (No. 166, hexagonal axes)
One atom of each set of equivalent atoms:
Sr  0.0000  0.0000  0.0000 [3 per cell]  6 As 3.13
Sr  0.0000  0.5000  0.0000 [9 per cell]  6 As 3.18-3.20
Pu  0.0000  0.0000  0.5000 [3 per cell]  6 As 2.96
Pa  0.0000  0.5000  0.5000 [9 per cell]  6 As 2.89-2.91
As  0.0000  0.0000  0.2393 [6 per cell]  3 Pa 2.91, 3 Sr 3.18
As  0.0076  0.5038  0.7608 [18 per cell]  2 Pa 2.89, 1 Pu 2.96, 3 Sr 3.13-3.20

Output
V   28.02 Å³/atom
Total moment   0.4253 μB/atom
ΔH_f (0 K)   -1142 meV per atom

=====

Entry 3:
# TlB3H

A relaxed TlB3H crystal (PBE, Alexandria via LeMat-Bulk).

Unit cell a=4.6625 b=4.6625 c=4.6625 alpha=90.00 beta=90.00 gamma=90.00
Closest atoms and distances in Å follow each position.
Space group Pm-3m (No. 221)
One atom of each set of equivalent atoms:
Tl  0.0000  0.0000  0.0000 [1 per cell]  6 B 2.33
B  0.0000  0.0000  0.5000 [3 per cell]  2 Tl 2.33
H  0.5000  0.5000  0.5000 [1 per cell]  12 B 3.30

Output
ΔE to the lowest computed polymorph   890 meV per atom
V   20.27 Å³/atom
Total moment   0.0000 μB/atom

=====

Q: Among the records above, which one has the highest total moment?
A: Sr4PuPa3As8

=====

Q: Which value of total moment does entry 3 give?
A: 0.0000 μB/atom